Crystalline MnVCd2O5 at its relaxed geometry, computed with PBE+U.

abc: 6.409 6.409 11.757
angles: 90.00 90.00 151.13
Fractional positions:
Mn1 0.043 0.957 0.500
Mn2 0.957 0.043 0.000
V1 0.254 0.746 0.082
V2 0.746 0.254 0.582
Cd1 0.337 0.663 0.326
Cd2 0.435 0.565 0.727
Cd3 0.565 0.435 0.227
Cd4 0.663 0.337 0.826
O1 0.020 0.980 0.838
O2 0.108 0.892 0.083
O3 0.228 0.772 0.476
O4 0.252 0.748 0.707
O5 0.406 0.594 0.102
O6 0.594 0.406 0.602
O7 0.748 0.252 0.207
O8 0.772 0.228 0.976
O9 0.892 0.108 0.583
O10 0.980 0.020 0.338

Summary:
Calculated total energy = -6.06 eV per atom
Total magnetic moment = 12.0 μB/cell